Record 1
Compound: GaAgSb2Te
Source: the Alexandria database
Functional: PBE-GGA
Structure: optimized geometry

abc: 5.3678 5.3678 5.6325
angles: 90.00 90.00 90.00
With the nearest neighbours (Å) after each atom.
Positions (direct):
Ga  0.5000  0.5000  0.5000  4 Te 3.80, 8 Sb 3.89
Ag  0.0000  0.0000  0.0000  4 Sb 2.68, 2 Te 2.82
Te  0.0000  0.0000  0.5000  2 Ag 2.82
Sb  0.5000  0.0000  0.0000  2 Ag 2.68
Sb  0.0000  0.5000  0.0000  2 Ag 2.68

## Properties
The calculation puts the formation energy from raw total energies at 0.564 eV/atom. As for the calculated volume: 32.458 Å³ per atom. As for the raw total energy: -2.889 eV/atom. The value obtained for the energy above the most stable polymorph in this dataset is 0 meV/atom. The calculation puts the total magnetic moment at 0.000 μB per cell.


Record 2
Compound: Er4MgIr
Source: the Alexandria database
Functional: PBE-GGA
Structure: optimized geometry

abc: 9.6249 9.6249 9.6249
angles: 60.00 60.00 60.00
With the nearest neighbours (Å) after each atom.
Positions (direct):
Er  0.1866  0.8134  0.8134  2 Mg 3.29, 2 Ir 3.48, 10 Er 3.49-3.61
Mg  0.1704  0.1704  0.1704  3 Mg 3.07, 3 Er 3.29
Mg  0.1704  0.1704  0.4889  3 Mg 3.07, 3 Er 3.29
Ir  0.6088  0.6088  0.6088  6 Er 2.79-2.81
Er  0.7900  0.4033  0.4033  3 Ir 2.81
Er  0.8134  0.1866  0.1866  2 Mg 3.29, 2 Ir 3.48, 10 Er 3.49-3.61
Er  0.4033  0.4033  0.7900  3 Ir 2.81
Ir  0.1735  0.6088  0.6088  6 Er 2.79-2.81
Ir  0.6088  0.1735  0.6088  6 Er 2.79-2.81
Er  0.5619  0.9381  0.5619  2 Ir 2.79
Er  0.4033  0.4033  0.4033  3 Ir 2.81
Er  0.4033  0.7900  0.4033  3 Ir 2.81
Er  0.8134  0.8134  0.1866  2 Mg 3.29, 2 Ir 3.48, 10 Er 3.49-3.61
Mg  0.4889  0.1704  0.1704  3 Mg 3.07, 3 Er 3.29
Ir  0.6088  0.6088  0.1735  6 Er 2.79-2.81
Er  0.8134  0.1866  0.8134  2 Mg 3.29, 2 Ir 3.48, 10 Er 3.49-3.61
Er  0.5619  0.5619  0.9381  2 Ir 2.79
Er  0.9381  0.5619  0.5619  2 Ir 2.79
Er  0.5619  0.9381  0.9381  2 Ir 2.79
Er  0.1866  0.8134  0.1866  2 Mg 3.29, 2 Ir 3.48, 10 Er 3.49-3.61
Er  0.1866  0.1866  0.8134  2 Mg 3.29, 2 Ir 3.48, 10 Er 3.49-3.61
Er  0.9381  0.9381  0.5619  2 Ir 2.79
Er  0.9381  0.5619  0.9381  2 Ir 2.79
Mg  0.1704  0.4889  0.1704  3 Mg 3.07, 3 Er 3.29

## Properties
As for the calculated volume: 26.270 Å³ per atom. The calculation puts the energy relative to the elements at -443 meV per atom. As for the raw total energy: -5.228 eV/atom. The value obtained for the energy above the most stable polymorph in this dataset is 0 meV/atom. The calculation puts the total magnetic moment at 0.001 μB per cell.


Record 3
Compound: Ag2Ru
Source: the Alexandria database
Functional: PBE-GGA
Structure: optimized geometry

abc: 6.8841 6.8841 6.8841
angles: 157.12 157.12 32.58
With the nearest neighbours (Å) after each atom.
Positions (direct):
Ag  0.9969  0.9969  0.0000  8 Ag 2.73-2.99, 4 Ru 2.90
Ag  0.6697  0.6697  0.0000  8 Ag 2.73-2.99, 4 Ru 2.90
Ru  0.3333  0.3333  0.0000  4 Ru 2.73, 8 Ag 2.90

## Properties
As for the calculated volume: 16.429 Å³ per atom. The calculation puts the energy relative to the elements at 473 meV per atom. As for the raw total energy: -4.520 eV/atom. The value obtained for the energy above the most stable polymorph in this dataset is 118 meV/atom. The calculation puts the total magnetic moment at 0.662 μB per cell.


Record 4
Compound: Tb4Th3Co2
Source: the Alexandria database
Functional: PBE-GGA
Structure: optimized geometry

abc: 3.7047 8.8422 8.7244
angles: 115.70 102.26 90.00
With the nearest neighbours (Å) after each atom.
Positions (direct):
Co  0.5903  0.4173  0.1805  4 Th 2.66-2.71, 2 Tb 2.93
Tb  0.6201  0.8804  0.2402  1 Co 3.38, 6 Th 3.58-3.73, 4 Tb 3.70-3.77
Co  0.4097  0.5827  0.8195  4 Th 2.66-2.71, 2 Tb 2.93
Th  0.0845  0.1968  0.1689  2 Co 2.66
Tb  0.7766  0.3564  0.5532  2 Co 2.93
Tb  0.2234  0.6436  0.4468  2 Co 2.93
Tb  0.3799  0.1196  0.7598  1 Co 3.38, 6 Th 3.58-3.73, 4 Tb 3.70-3.77
Th  0.0000  0.5000  0.0000  4 Co 2.71
Th  0.9155  0.8032  0.8311  2 Co 2.66

## Properties
As for the calculated volume: 27.807 Å³ per atom. The calculation puts the energy relative to the elements at -137 meV per atom. As for the raw total energy: -6.247 eV/atom. The calculation puts the total magnetic moment at 0.000 μB per cell.


Record 5
Compound: Tb6TmIn6
Source: the Alexandria database
Functional: PBE-GGA
Structure: optimized geometry

abc: 6.2927 6.2927 10.7362
angles: 90.00 90.00 120.00
With the nearest neighbours (Å) after each atom.
Positions (direct):
In  0.5000  0.5000  0.7534  4 In 3.15, 6 Tb 3.21-3.28
Tb  0.6667  0.3333  0.5000  6 In 3.27, 3 Tb 3.63
In  0.5000  0.0000  0.7534  4 In 3.15, 6 Tb 3.21-3.28
In  0.5000  0.0000  0.2466  4 In 3.15, 6 Tb 3.21-3.28
Tm  0.0000  0.0000  0.0000  8 Tb 3.59-3.63
Tb  0.0000  0.0000  0.6655  6 In 3.28, 1 Tb 3.55, 1 Tm 3.59
Tb  0.3333  0.6667  0.0000  6 In 3.21
Tb  0.6667  0.3333  0.0000  6 In 3.21
Tb  0.0000  0.0000  0.3345  6 In 3.28, 1 Tb 3.55, 1 Tm 3.59
In  0.0000  0.5000  0.2466  4 In 3.15, 6 Tb 3.21-3.28
In  0.0000  0.5000  0.7534  4 In 3.15, 6 Tb 3.21-3.28
In  0.5000  0.5000  0.2466  4 In 3.15, 6 Tb 3.21-3.28
Tb  0.3333  0.6667  0.5000  6 In 3.27, 3 Tb 3.63

## Properties
As for the calculated volume: 28.322 Å³ per atom. The calculation puts the energy relative to the elements at -308 meV per atom. As for the raw total energy: -4.053 eV/atom. The calculation puts the total magnetic moment at 0.715 μB per cell.


Record 6
Compound: Mg2BiO
Source: the Alexandria database
Functional: PBE-GGA
Structure: optimized geometry

abc: 4.8010 4.8010 4.8010
angles: 60.00 60.00 60.00
With the nearest neighbours (Å) after each atom.
Positions (direct):
O  0.0000  0.0000  0.0000  8 Mg 2.94
Bi  0.5000  0.5000  0.5000  8 Mg 2.94
Mg  0.2500  0.2500  0.2500  4 O 2.94, 4 Bi 2.94
Mg  0.7500  0.7500  0.7500  4 Bi 2.94, 4 O 2.94

## Properties
The calculation puts the formation energy from raw total energies at -0.190 eV/atom. As for the calculated volume: 19.563 Å³ per atom. As for the raw total energy: -3.197 eV/atom. The value obtained for the energy above the most stable polymorph in this dataset is 1029 meV/atom. The calculation puts the total magnetic moment at 1.000 μB per cell.


Record 7
Compound: SrTh2C
Source: the Alexandria database
Functional: PBE-GGA
Structure: optimized geometry

abc: 3.7045 3.7045 10.4955
angles: 79.84 79.84 60.00
With the nearest neighbours (Å) after each atom.
Positions (direct):
Sr  0.0000  0.0000  0.0000  2 Th 3.70, 6 Sr 3.70
Th  0.1202  0.1202  0.6395  3 C 2.57
C  0.5000  0.5000  0.5000  6 Th 2.57
Th  0.8798  0.8798  0.3605  3 C 2.57

## Properties
As for the calculated volume: 30.530 Å³ per atom. The calculation puts the energy relative to the elements at 5 meV per atom. As for the raw total energy: -6.432 eV/atom. The calculation puts the total magnetic moment at 0.000 μB per cell.


Record 8
Compound: LaTb3PmSc
Source: the Alexandria database
Functional: PBE-GGA
Structure: optimized geometry

abc: 5.0364 7.9458 10.0934
angles: 90.00 90.00 108.48
With the nearest neighbours (Å) after each atom.
Positions (direct):
Pm  0.0000  0.0000  0.5000  4 La 3.56, 6 Tb 3.58-3.61, 2 Sc 3.60
La  0.4979  0.9958  0.7500  4 Pm 3.56-3.57, 6 Tb 3.57-3.63, 2 Sc 3.57
Tb  0.8286  0.6571  0.2500  2 Sc 3.47, 6 Tb 3.48-3.56, 2 Pm 3.61, 2 La 3.63
Tb  0.3308  0.6616  0.4999  5 Tb 3.48-3.56, 3 Sc 3.50-3.57, 2 La 3.57-3.61, 2 Pm 3.58
La  0.5021  0.0042  0.2500  4 Pm 3.56-3.57, 6 Tb 3.57-3.63, 2 Sc 3.57
Tb  0.3308  0.6616  0.0001  5 Tb 3.48-3.56, 3 Sc 3.50-3.57, 2 La 3.57-3.61, 2 Pm 3.58
Tb  0.6692  0.3384  0.5001  5 Tb 3.48-3.56, 3 Sc 3.50-3.57, 2 La 3.57-3.61, 2 Pm 3.58
Tb  0.6692  0.3384  0.9999  5 Tb 3.48-3.56, 3 Sc 3.50-3.57, 2 La 3.57-3.61, 2 Pm 3.58
Tb  0.1714  0.3429  0.7500  2 Sc 3.47, 6 Tb 3.48-3.56, 2 Pm 3.61, 2 La 3.63
Sc  0.1699  0.3398  0.2500  8 Tb 3.47-3.57, 2 La 3.57, 2 Pm 3.60
Sc  0.8301  0.6602  0.7500  8 Tb 3.47-3.57, 2 La 3.57, 2 Pm 3.60
Pm  0.0000  0.0000  0.0000  4 La 3.57, 6 Tb 3.58-3.61, 2 Sc 3.60

## Properties
As for the calculated volume: 31.925 Å³ per atom. The calculation puts the energy relative to the elements at 46 meV per atom. As for the raw total energy: -4.937 eV/atom. The calculation puts the total magnetic moment at 0.000 μB per cell.


Record 9
Compound: CoReBr2
Source: the Alexandria database
Functional: PBE-GGA
Structure: optimized geometry

abc: 3.7806 3.7806 8.0927
angles: 92.68 92.68 55.29
With the nearest neighbours (Å) after each atom.
Positions (direct):
Br  0.9350  0.9350  0.8907  2 Co 2.46, 1 Re 2.63
Re  0.8162  0.8162  0.5761  3 Co 2.31-2.32
Co  0.5062  0.5062  0.6885  3 Re 2.31-2.32, 2 Br 2.46
Br  0.2426  0.2426  0.3447  2 Re 2.59

## Properties
The calculation puts the formation energy from raw total energies at 0.308 eV/atom. As for the calculated volume: 23.738 Å³ per atom. As for the raw total energy: -5.417 eV/atom. The value obtained for the energy above the most stable polymorph in this dataset is 0 meV/atom. The calculation puts the total magnetic moment at 0.000 μB per cell.


Record 10
Compound: Li2TlSn3
Source: the Alexandria database
Functional: PBE-GGA
Structure: optimized geometry

abc: 6.8534 6.8534 6.5823
angles: 93.01 93.01 91.05
With the nearest neighbours (Å) after each atom.
Positions (direct):
Tl  0.9809  0.0191  0.7500  2 Li 2.97, 1 Sn 3.08, 2 Tl 3.31
Sn  0.2956  0.7044  0.7500  2 Li 2.96, 4 Sn 3.06-3.14, 1 Tl 3.08
Sn  0.3354  0.3130  0.5128  4 Li 2.91-3.23, 2 Sn 3.06-3.14
Li  0.4474  0.9426  0.2224  5 Sn 2.91-3.23, 1 Tl 2.97, 1 Li 3.19
Li  0.9426  0.4474  0.7224  5 Sn 2.91-3.23, 1 Tl 2.97, 1 Li 3.19
Sn  0.3130  0.3354  0.0128  4 Li 2.91-3.23, 2 Sn 3.06-3.14
Tl  0.0191  0.9809  0.2500  2 Li 2.97, 1 Sn 3.08, 2 Tl 3.31
Li  0.0574  0.5526  0.2776  5 Sn 2.91-3.23, 1 Tl 2.97, 1 Li 3.19
Sn  0.7044  0.2956  0.2500  2 Li 2.96, 4 Sn 3.06-3.14, 1 Tl 3.08
Sn  0.6870  0.6646  0.9872  4 Li 2.91-3.23, 2 Sn 3.06-3.14
Li  0.5526  0.0574  0.7776  5 Sn 2.91-3.23, 1 Tl 2.97, 1 Li 3.19
Sn  0.6646  0.6870  0.4872  4 Li 2.91-3.23, 2 Sn 3.06-3.14

## Properties
As for the calculated volume: 25.688 Å³ per atom. The calculation puts the energy relative to the elements at -102 meV per atom. As for the raw total energy: -3.136 eV/atom. The calculation puts the total magnetic moment at 0.000 μB per cell.


Record 11
Compound: Ti2GaNi
Source: the Alexandria database
Functional: PBE-GGA
Structure: optimized geometry

abc: 4.0694 4.0698 5.0790
angles: 66.39 66.38 60.00
With the nearest neighbours (Å) after each atom.
Positions (direct):
Ti  0.9092  0.6724  0.5091  3 Ga 2.65, 1 Ni 2.69, 4 Ti 2.74-2.94
Ga  0.4857  0.2488  0.7798  3 Ni 2.42, 3 Ti 2.65
Ni  0.1084  0.8713  0.9118  3 Ga 2.42, 4 Ti 2.52-2.69
Ti  0.7069  0.4695  0.1168  3 Ni 2.52, 1 Ti 2.74, 3 Ga 2.80

## Properties
As for the calculated volume: 16.147 Å³ per atom. The calculation puts the energy relative to the elements at -186 meV per atom. As for the raw total energy: -6.336 eV/atom. The calculation puts the total magnetic moment at 0.016 μB per cell.


Record 12
Compound: ZrScTe4
Source: the Alexandria database
Functional: PBE-GGA
Structure: optimized geometry

abc: 6.1848 6.1848 6.1848
angles: 60.00 60.00 60.00
With the nearest neighbours (Å) after each atom.
Positions (direct):
Sc  0.0000  0.0000  0.0000  12 Te 3.63, 4 Zr 3.79
Te  0.8743  0.3752  0.3752  6 Te 3.09-3.10
Te  0.3752  0.8743  0.3752  6 Te 3.09-3.10
Zr  0.7500  0.7500  0.7500  12 Te 3.63, 4 Sc 3.79
Te  0.3752  0.3752  0.8743  6 Te 3.09-3.10
Te  0.3752  0.3752  0.3752  6 Te 3.09-3.10

## Properties
The calculation puts the formation energy from raw total energies at 0.481 eV/atom. As for the calculated volume: 27.882 Å³ per atom. As for the raw total energy: -4.094 eV/atom. The calculation puts the total magnetic moment at 0.002 μB per cell.